First-principles (PBE+U) data for crystalline NaW2F at its relaxed geometry, as listed in the Alexandria database.

Uncorrected energy in eV per atom: -3.18
SG: Fm-3m (225)
Size of the total moment in μB/cell: 37.429

a = 7.011 Å, b = 7.011 Å, c = 7.011 Å
α = 90.00°, β = 90.00°, γ = 90.00°
Positions (direct):
Na  0.000  0.000  0.000
Na  0.000  0.500  0.500
Na  0.500  0.000  0.500
Na  0.500  0.500  0.000
W  0.250  0.250  0.250
W  0.250  0.250  0.750
W  0.250  0.750  0.250
W  0.250  0.750  0.750
W  0.750  0.250  0.250
W  0.750  0.250  0.750
W  0.750  0.750  0.250
W  0.750  0.750  0.750
F  0.000  0.000  0.500
F  0.000  0.500  0.000
F  0.500  0.000  0.000
F  0.500  0.500  0.500